A plane-wave DFT calculation with PBE-GGA was carried out for Sr2LiScH after structural relaxation.

Properties
- Total moment: 0.0 μB/f.u.
- Space-group type: No. 123
- E: -11.2 eV/cell

a b c (Å): 6.2504 6.2504 4.9839
angles (deg): 90.00 90.00 90.00
Last column: nearest neighbours and their distance in Å.
Fractional coordinates of all 5 atoms:
Sr (0.0000, 0.5000, 0.0000)  2 Li 3.13
Sr (0.5000, 0.0000, 0.0000)  2 Li 3.13
Li (0.0000, 0.0000, 0.0000)  2 Sc 2.49
Sc (0.0000, 0.0000, 0.5000)  2 Li 2.49
H (0.5000, 0.5000, 0.5000)  8 Sr 4.00, 4 Sc 4.42